1.
DFT (PBE-GGA) results for CoSi8 after structural relaxation.

Cell: 7.828 7.828 3.967 Å, 90.00 90.00 90.00°
Space group I4/mmm (No. 139)
Symmetry-distinct sites (fractional):
Co 0.000 0.000 0.000 x2
Si 0.000 0.325 0.000 x8
Si 0.160 0.160 0.500 x8

**ΔE_f (raw)**: 363 meV per atom
**N(E_F)**: 3.5 states/eV/f.u.
**Final energy**: -0.3857 Ry per atom

2.
DFT (PBE-GGA) results for DyPuCu2O8 after structural relaxation.

Cell: 6.739 6.739 6.840 Å, 90.00 90.00 90.00°
Space group I-4m2 (No. 119)
Symmetry-distinct sites (fractional):
Dy 0.000 0.000 0.000 x2
Pu 0.000 0.500 0.250 x2
Cu 0.000 0.000 0.500 x2
Cu 0.000 0.500 0.750 x2
O 0.000 0.205 0.298 x8
O 0.000 0.328 0.955 x8

**ΔE_f (raw)**: -1542 meV per atom
**N(E_F)**: 9.1 states/eV/f.u.
**Final energy**: -0.5224 Ry per atom

3.
DFT (PBE-GGA) results for CdCuS3 after structural relaxation.

Cell: 4.559 4.559 4.559 Å, 90.00 90.00 90.00°
Space group Pm-3m (No. 221)
Symmetry-distinct sites (fractional):
Cd 0.000 0.000 0.000 x1
Cu 0.500 0.500 0.500 x1
S 0.000 0.500 0.500 x3

**ΔE_f (raw)**: 401 meV per atom
**Energy relative to the lowest polymorph listed for this composition**: 0 meV/atom
**N(E_F)**: 4.2 states/eV/f.u.
**Final energy**: -0.2262 Ry per atom

4.
DFT (PBE-GGA) results for NdHf3N4 after structural relaxation.

Cell: 3.2724 3.2724 22.0720 Å, 90.00 90.00 120.00°
Space group P6_3/mmc (No. 194)
Symmetry-distinct sites (fractional):
Nd 0.3333 0.6667 0.2500 x2
Hf 0.0000 0.0000 0.0000 x2
Hf 0.3333 0.6667 0.6186 x4
N 0.0000 0.0000 0.1709 x4
N 0.3333 0.6667 0.0587 x4

**ΔE_f (raw)**: -1674 meV per atom
**N(E_F)**: 2.2 states/eV/f.u.
**Final energy**: -0.7471 Ry per atom